First-principles (GGA-PBE) data for a geometry-optimized TlHgB structure, as listed in Alexandria via LeMat-Bulk.

a = 4.5582 Å, b = 4.5582 Å, c = 6.8999 Å
α = 90.00°, β = 90.00°, γ = 90.00°
With the nearest neighbours (Å) after each atom.
Sites, in units of the cell vectors:
Tl (0.2500, 0.2500, 0.1364)  4 B 2.47
Tl (0.7500, 0.7500, 0.8636)  4 B 2.47
Hg (0.2500, 0.2500, 0.5957)  1 Tl 3.17, 4 Hg 3.48
Hg (0.7500, 0.7500, 0.4043)  1 Tl 3.17, 4 Hg 3.48
B (0.2500, 0.7500, 0.0000)  4 Tl 2.47
B (0.7500, 0.2500, 0.0000)  4 Tl 2.47

Results
- E_form (meV/atom) = 1101
- DFT total energy (eV for the cell shown) = -12.09
- space-group type = No. 129

***

First-principles (GGA-PBE) data for a geometry-optimized TbPrZnIn structure, as listed in Alexandria via LeMat-Bulk.

a = 5.3260 Å, b = 5.3260 Å, c = 5.3260 Å
α = 60.00°, β = 60.00°, γ = 60.00°
With the nearest neighbours (Å) after each atom.
Sites, in units of the cell vectors:
Tb (0.0000, 0.0000, 0.0000)  4 In 3.26, 4 Zn 3.26
Pr (0.5000, 0.5000, 0.5000)  4 In 3.26, 4 Zn 3.26
Zn (0.2500, 0.2500, 0.2500)  4 Tb 3.26, 4 Pr 3.26
In (0.7500, 0.7500, 0.7500)  4 Tb 3.26, 4 Pr 3.26

Results
- E_form (meV/atom) = -384
- DFT total energy (eV for the cell shown) = -14.96
- offset from the most stable computed form (eV per atom) = 0.025
- space-group type = No. 216

***

First-principles (GGA-PBE) data for a geometry-optimized NdTmSc structure, as listed in Alexandria via LeMat-Bulk.

a = 3.4253 Å, b = 5.0652 Å, c = 10.4287 Å
α = 90.00°, β = 99.07°, γ = 90.00°
With the nearest neighbours (Å) after each atom.
Sites, in units of the cell vectors:
Nd (0.0539, 0.2500, 0.0990)  4 Nd 3.25-3.43, 1 Sc 3.30, 4 Tm 3.49-3.50
Nd (0.9461, 0.7500, 0.9010)  4 Nd 3.25-3.43, 1 Sc 3.30, 4 Tm 3.49-3.50
Tm (0.3688, 0.2500, 0.7367)  5 Sc 3.26-3.46, 2 Tm 3.43, 4 Nd 3.49-3.50
Tm (0.6312, 0.7500, 0.2633)  5 Sc 3.26-3.46, 2 Tm 3.43, 4 Nd 3.49-3.50
Sc (0.2089, 0.2500, 0.4198)  5 Tm 3.26-3.46, 1 Nd 3.30, 6 Sc 3.43-3.48
Sc (0.7911, 0.7500, 0.5802)  5 Tm 3.26-3.46, 1 Nd 3.30, 6 Sc 3.43-3.48

Results
- E_form (meV/atom) = 107
- DFT total energy (eV for the cell shown) = -30.50
- offset from the most stable computed form (eV per atom) = 0.055
- space-group type = No. 11

***

First-principles (GGA-PBE) data for a geometry-optimized La2HCl3 structure, as listed in Alexandria via LeMat-Bulk.

a = 8.4497 Å, b = 8.4497 Å, c = 10.7122 Å
α = 117.41°, β = 117.41°, γ = 28.32°
With the nearest neighbours (Å) after each atom.
Sites, in units of the cell vectors:
La (0.1042, 0.1042, 0.4596)  2 H 2.42-2.49
La (0.3629, 0.3629, 0.2062)  2 H 2.49
La (0.6371, 0.6371, 0.7938)  2 H 2.49
La (0.8958, 0.8958, 0.5404)  2 H 2.42-2.49
H (0.0682, 0.0682, 0.6541)  4 La 2.42-2.49
H (0.9318, 0.9318, 0.3459)  4 La 2.42-2.49
Cl (0.1602, 0.1602, 0.0012)  3 La 2.92-2.99
Cl (0.2633, 0.2633, 0.3739)  4 La 2.91-3.15
Cl (0.4508, 0.4508, 0.7534)  3 La 2.87-2.89
Cl (0.5492, 0.5492, 0.2466)  3 La 2.87-2.89
Cl (0.7367, 0.7367, 0.6261)  4 La 2.91-3.15
Cl (0.8398, 0.8398, 0.9988)  3 La 2.92-2.99

Results
- DFT total energy (eV for the cell shown) = -58.51
- space-group type = No. 12

***

First-principles (GGA-PBE) data for a geometry-optimized Co2SbAs2 structure, as listed in Alexandria via LeMat-Bulk.

a = 6.1885 Å, b = 6.1885 Å, c = 6.1885 Å
α = 143.81°, β = 143.81°, γ = 52.11°
With the nearest neighbours (Å) after each atom.
Sites, in units of the cell vectors:
Co (0.1175, 0.1175, 0.0000)  4 As 2.42, 1 Co 2.61
Co (0.8825, 0.8825, 0.0000)  4 As 2.42, 1 Co 2.61
Sb (0.5000, 0.5000, 0.0000)  8 Co 3.02
As (0.2500, 0.7500, 0.5000)  4 Co 2.42
As (0.7500, 0.2500, 0.5000)  4 Co 2.42

Results
- DFT total energy (eV for the cell shown) = -26.92
- offset from the most stable computed form (eV per atom) = 0.097
- space-group type = No. 139

***

First-principles (GGA-PBE) data for a geometry-optimized BaNbBr2 structure, as listed in Alexandria via LeMat-Bulk.

a = 5.5803 Å, b = 5.5803 Å, c = 5.5803 Å
α = 60.00°, β = 60.00°, γ = 60.00°
With the nearest neighbours (Å) after each atom.
Sites, in units of the cell vectors:
Ba (0.0000, 0.0000, 0.0000)  8 Br 3.42
Nb (0.5000, 0.5000, 0.5000)  8 Br 3.42
Br (0.2500, 0.2500, 0.2500)  4 Nb 3.42, 4 Ba 3.42
Br (0.7500, 0.7500, 0.7500)  4 Nb 3.42, 4 Ba 3.42

Results
- DFT total energy (eV for the cell shown) = -16.14
- offset from the most stable computed form (eV per atom) = 0.089
- space-group type = No. 225